# TbTm2Sc

TbTm2Sc after structural relaxation (PBE, Alexandria via LeMat-Bulk).

Cell: 3.526 10.956 6.076 Å, 90.00 90.00 90.00°
Space group Imm2 (No. 44)
Symmetry-distinct sites (fractional):
Tb 0.000 0.000 0.000 x2
Tm 0.000 0.245 0.342 x4
Sc 0.000 0.500 0.006 x2

M_tot: 0.00 μB per formula unit
calculated total energy: -0.3647 Ry/atom
energy relative to the elements: 1 kJ/mol of atoms

=====

# Tb12Tm2Sc5

Tb12Tm2Sc5 after structural relaxation (PBE, Alexandria via LeMat-Bulk).

Cell: 15.896 8.765 8.278 Å, 90.00 90.48 90.00°
Space group C2/m (No. 12)
Symmetry-distinct sites (fractional):
Tb 0.053 0.000 0.282 x4
Tb 0.109 0.214 0.618 x8
Tb 0.166 0.500 0.869 x4
Tb 0.185 0.295 0.223 x8
Tm 0.000 0.286 0.000 x4
Sc 0.000 0.500 0.500 x2
Sc 0.146 0.000 0.942 x4
Sc 0.249 0.500 0.546 x4

M_tot: 0.00 μB per formula unit
calculated total energy: -0.3608 Ry/atom
energy relative to the elements: 15 kJ/mol of atoms

=====

What is the formula in the first record? TbTm2Sc

=====

Please write out number 2 again, unchanged.
# Tb12Tm2Sc5

Tb12Tm2Sc5 after structural relaxation (PBE, Alexandria via LeMat-Bulk).

Cell: 15.896 8.765 8.278 Å, 90.00 90.48 90.00°
Space group C2/m (No. 12)
Symmetry-distinct sites (fractional):
Tb 0.053 0.000 0.282 x4
Tb 0.109 0.214 0.618 x8
Tb 0.166 0.500 0.869 x4
Tb 0.185 0.295 0.223 x8
Tm 0.000 0.286 0.000 x4
Sc 0.000 0.500 0.500 x2
Sc 0.146 0.000 0.942 x4
Sc 0.249 0.500 0.546 x4

M_tot: 0.00 μB per formula unit
calculated total energy: -0.3608 Ry/atom
energy relative to the elements: 15 kJ/mol of atoms

=====

M_tot of number 2 (Tb12Tm2Sc5)? 0.00 μB per formula unit

=====

Copy entry 2 word for word.
# Tb12Tm2Sc5

Tb12Tm2Sc5 after structural relaxation (PBE, Alexandria via LeMat-Bulk).

Cell: 15.896 8.765 8.278 Å, 90.00 90.48 90.00°
Space group C2/m (No. 12)
Symmetry-distinct sites (fractional):
Tb 0.053 0.000 0.282 x4
Tb 0.109 0.214 0.618 x8
Tb 0.166 0.500 0.869 x4
Tb 0.185 0.295 0.223 x8
Tm 0.000 0.286 0.000 x4
Sc 0.000 0.500 0.500 x2
Sc 0.146 0.000 0.942 x4
Sc 0.249 0.500 0.546 x4

M_tot: 0.00 μB per formula unit
calculated total energy: -0.3608 Ry/atom
energy relative to the elements: 15 kJ/mol of atoms